## K2VZnSe4 (PBE)

Data for a geometry-optimized K2VZnSe4 structure.

For the density of states at the Fermi level, the calculation gives 0.42 states/eV per atom. The formation energy without anion corrections comes out at -0.909 eV/atom.

Cell: 13.856 12.415 7.425 Å, 84.62 63.14 32.24°
Atoms (fractional coordinates):
K 0.056 0.056 0.694
K 0.306 0.306 0.944
K 0.694 0.694 0.056
K 0.944 0.944 0.306
V 0.375 0.375 0.375
V 0.625 0.625 0.625
Zn 0.125 0.125 0.125
Zn 0.875 0.875 0.875
Se 0.017 0.345 0.433
Se 0.295 0.567 0.655
Se 0.345 0.017 0.705
Se 0.433 0.705 0.017
Se 0.567 0.295 0.983
Se 0.655 0.983 0.295
Se 0.705 0.433 0.345
Se 0.983 0.655 0.567

---

## Li2ErAg2Sn2 (PBE)

Data for a geometry-optimized Li2ErAg2Sn2 structure.

For the density of states at the Fermi level, the calculation gives 0.51 states/eV per atom. As for the formation energy from the elements: -0.37 eV/atom.

Cell: 8.209 8.209 8.209 Å, 32.95 32.95 32.95°
Atoms (fractional coordinates):
Li 0.139 0.139 0.139
Li 0.861 0.861 0.861
Er 0.000 0.000 0.000
Ag 0.435 0.435 0.435
Ag 0.565 0.565 0.565
Sn 0.263 0.263 0.263
Sn 0.737 0.737 0.737

---

Record order is preserved below.
Total moment: 0.13 0.00 μB/atom